1.
Here is a crystal of Ti3Zn2O8 relaxed with PBEsol from the Alexandria database. Energies are from meta-GGA SCAN.

Calculated values
- DOS(E_F) (states/eV per atom) = 0.00
- energy above the lowest structure with this stoichiometry (meV/atom) = 47.3
- space-group type = C2/m

Geometry as POSCAR:
```
Ti3Zn2O8
1.0
5.096 -2.995 0.000
5.096 2.995 0.000
-1.871 0.000 4.710
Ti Zn O
3 2 8
Direct
0.000 0.000 0.000
0.266 0.734 0.500
0.734 0.266 0.500
0.316 0.316 0.845
0.684 0.684 0.155
0.111 0.111 0.750
0.125 0.662 0.742
0.338 0.875 0.258
0.390 0.390 0.273
0.610 0.610 0.727
0.662 0.125 0.742
0.875 0.338 0.258
0.889 0.889 0.250
```



2.
Here is a crystal of TiZn2O4 relaxed with PBEsol from the Alexandria database. Energies are from meta-GGA SCAN.

Calculated values
- DOS(E_F) (states/eV per atom) = 0.00
- energy above the lowest structure with this stoichiometry (meV/atom) = 3.8
- space-group type = C2

Geometry as POSCAR:
```
TiZn2O4
1.0
8.368 -6.000 0.000
8.368 6.000 0.000
-0.017 0.000 6.007
Ti Zn O
8 16 32
Direct
0.000 0.000 0.000
0.245 0.504 0.239
0.487 0.009 0.497
0.496 0.755 0.761
0.501 0.499 0.500
0.743 0.008 0.250
0.991 0.513 0.503
0.992 0.257 0.750
0.178 0.194 0.261
0.184 0.691 0.754
0.244 0.006 0.750
0.305 0.319 0.745
0.309 0.816 0.246
0.492 0.009 0.998
0.493 0.256 0.243
0.497 0.503 0.000
0.681 0.695 0.255
0.682 0.192 0.756
0.744 0.507 0.757
0.806 0.822 0.739
0.808 0.318 0.244
0.991 0.508 0.002
0.994 0.756 0.250
0.997 0.003 0.500
0.102 0.134 0.990
0.103 0.380 0.739
0.106 0.892 0.767
0.108 0.894 0.233
0.110 0.132 0.531
0.120 0.614 0.491
0.121 0.396 0.270
0.124 0.624 0.030
0.360 0.389 0.023
0.368 0.615 0.266
0.370 0.396 0.485
0.376 0.876 0.970
0.380 0.119 0.265
0.383 0.118 0.733
0.385 0.632 0.734
0.386 0.880 0.509
0.604 0.630 0.515
0.604 0.879 0.730
0.607 0.393 0.264
0.607 0.393 0.736
0.611 0.640 0.977
0.620 0.897 0.261
0.623 0.114 0.486
0.623 0.123 0.026
0.866 0.898 0.010
0.868 0.116 0.235
0.868 0.890 0.469
0.877 0.377 0.974
0.881 0.620 0.735
0.882 0.617 0.267
0.884 0.132 0.765
0.886 0.377 0.514
```



3.
Here is a crystal of Ti3Zn2O8 relaxed with PBEsol from the Alexandria database. Energies are from meta-GGA SCAN.

Calculated values
- DOS(E_F) (states/eV per atom) = 0.00
- energy above the lowest structure with this stoichiometry (meV/atom) = 92.5
- space-group type = R-3m

Geometry as POSCAR:
```
Ti3Zn2O8
1.0
2.977 1.719 4.703
-2.977 1.719 4.703
0.000 -3.437 4.703
Ti Zn O
3 2 8
Direct
0.000 0.500 0.500
0.500 0.000 0.500
0.500 0.500 0.000
0.115 0.115 0.115
0.885 0.885 0.885
0.248 0.248 0.714
0.248 0.714 0.248
0.256 0.256 0.256
0.286 0.752 0.752
0.714 0.248 0.248
0.744 0.744 0.744
0.752 0.286 0.752
0.752 0.752 0.286
```



4.
Here is a crystal of TiZn2O4 relaxed with PBEsol from the Alexandria database. Energies are from meta-GGA SCAN.

Calculated values
- DOS(E_F) (states/eV per atom) = 0.00
- energy above the lowest structure with this stoichiometry (meV/atom) = 18.2
- space-group type = Imma

Geometry as POSCAR:
```
TiZn2O4
1.0
-2.940 2.975 4.315
2.940 -2.975 4.315
2.940 2.975 -4.315
Ti Zn O
2 4 8
Direct
0.000 0.000 0.000
0.500 0.000 0.500
0.000 0.000 0.500
0.000 0.500 0.000
0.389 0.639 0.750
0.611 0.361 0.250
0.212 0.226 0.987
0.254 0.228 0.475
0.254 0.779 0.025
0.261 0.774 0.487
0.739 0.226 0.513
0.746 0.221 0.975
0.746 0.772 0.525
0.788 0.774 0.013
```



5.
Here is a crystal of TiZn3O relaxed with PBEsol from the Alexandria database. Energies are from meta-GGA SCAN.

Calculated values
- DOS(E_F) (states/eV per atom) = 0.83
- uncorrected energy (Ha/atom) = -0.41383
- space-group type = Pm-3m

Geometry as POSCAR:
```
TiZn3O
1.0
4.992 0.000 0.000
0.000 4.992 0.000
0.000 0.000 4.992
Ti Zn O
1 3 1
Direct
0.000 0.000 0.000
0.000 0.000 0.500
0.000 0.500 0.000
0.500 0.000 0.000
0.500 0.500 0.500
```



6.
Here is a crystal of TiZn2O4 relaxed with PBEsol from the Alexandria database. Energies are from meta-GGA SCAN.

Calculated values
- DOS(E_F) (states/eV per atom) = 0.00
- energy above the lowest structure with this stoichiometry (meV/atom) = 0.0
- space-group type = P4_122

Geometry as POSCAR:
```
TiZn2O4
1.0
5.995 0.000 0.000
0.000 5.995 0.000
0.000 0.000 8.388
Ti Zn O
4 8 16
Direct
0.000 0.261 0.000
0.000 0.739 0.500
0.261 0.000 0.750
0.739 0.000 0.250
0.247 0.247 0.375
0.247 0.753 0.125
0.256 0.500 0.750
0.500 0.256 0.000
0.500 0.744 0.500
0.744 0.500 0.250
0.753 0.247 0.625
0.753 0.753 0.875
0.015 0.234 0.767
0.015 0.766 0.733
0.234 0.015 0.983
0.234 0.985 0.517
0.235 0.476 0.000
0.235 0.524 0.500
0.476 0.235 0.750
0.476 0.765 0.750
0.524 0.235 0.250
0.524 0.765 0.250
0.765 0.476 0.000
0.765 0.524 0.500
0.766 0.015 0.017
0.766 0.985 0.483
0.985 0.234 0.233
0.985 0.766 0.267
```



7.
Here is a crystal of Ti3Zn2O8 relaxed with PBEsol from the Alexandria database. Energies are from meta-GGA SCAN.

Calculated values
- DOS(E_F) (states/eV per atom) = 0.00
- energy above the lowest structure with this stoichiometry (meV/atom) = 0.0
- space-group type = P4_332

Geometry as POSCAR:
```
Ti3Zn2O8
1.0
8.373 0.000 0.000
0.000 8.373 0.000
0.000 0.000 8.373
Ti Zn O
12 8 32
Direct
0.113 0.375 0.363
0.125 0.637 0.613
0.137 0.887 0.875
0.363 0.113 0.375
0.375 0.363 0.113
0.387 0.625 0.863
0.613 0.125 0.637
0.625 0.863 0.387
0.637 0.613 0.125
0.863 0.387 0.625
0.875 0.137 0.887
0.887 0.875 0.137
0.006 0.506 0.994
0.244 0.256 0.744
0.256 0.744 0.244
0.494 0.494 0.494
0.506 0.994 0.006
0.744 0.244 0.256
0.756 0.756 0.756
0.994 0.006 0.506
0.107 0.860 0.109
0.109 0.107 0.860
0.109 0.391 0.609
0.110 0.857 0.641
0.140 0.609 0.393
0.141 0.390 0.143
0.141 0.641 0.859
0.143 0.141 0.390
0.357 0.859 0.890
0.359 0.359 0.359
0.359 0.610 0.643
0.360 0.391 0.893
0.390 0.143 0.141
0.391 0.609 0.109
0.391 0.893 0.360
0.393 0.140 0.609
0.607 0.640 0.891
0.609 0.109 0.391
0.609 0.393 0.140
0.610 0.643 0.359
0.640 0.891 0.607
0.641 0.110 0.857
0.641 0.859 0.141
0.643 0.359 0.610
0.857 0.641 0.110
0.859 0.141 0.641
0.859 0.890 0.357
0.860 0.109 0.107
0.890 0.357 0.859
0.891 0.607 0.640
0.891 0.891 0.891
0.893 0.360 0.391
```



8.
Here is a crystal of ZrTiZn4O8 relaxed with PBEsol from the Alexandria database. Energies are from meta-GGA SCAN.

Calculated values
- DOS(E_F) (states/eV per atom) = 0.00
- uncorrected energy (Ha/atom) = -0.48263
- space-group type = C2/m

Geometry as POSCAR:
```
ZrTiZn4O8
1.0
5.302 -2.968 0.000
5.302 2.968 0.000
-3.520 0.000 5.021
Zr Ti Zn O
1 1 4 8
Direct
0.000 0.000 0.000
0.000 0.000 0.500
0.000 0.500 0.000
0.361 0.361 0.606
0.500 0.000 0.000
0.639 0.639 0.394
0.224 0.768 0.735
0.226 0.226 0.736
0.232 0.776 0.265
0.239 0.239 0.217
0.761 0.761 0.783
0.768 0.224 0.735
0.774 0.774 0.264
0.776 0.232 0.265
```



9.
Here is a crystal of ZrTiO4 relaxed with PBEsol from the Alexandria database. Energies are from meta-GGA SCAN.

Calculated values
- DOS(E_F) (states/eV per atom) = 0.00
- uncorrected energy (Ha/atom) = -0.56761
- space-group type = P2_12_12

Geometry as POSCAR:
```
ZrTiO4
1.0
4.729 0.000 0.000
0.000 5.083 0.000
0.000 0.000 5.633
Zr Ti O
2 2 8
Direct
0.000 0.000 0.078
0.500 0.500 0.922
0.000 0.500 0.430
0.500 0.000 0.570
0.217 0.660 0.149
0.236 0.177 0.375
0.264 0.677 0.625
0.283 0.160 0.851
0.717 0.840 0.851
0.736 0.323 0.625
0.764 0.823 0.375
0.783 0.340 0.149
```



10.
Here is a crystal of ZrTiO4 relaxed with PBEsol from the Alexandria database. Energies are from meta-GGA SCAN.

Calculated values
- DOS(E_F) (states/eV per atom) = 0.00
- uncorrected energy (Ha/atom) = -0.56891
- space-group type = P1

Geometry as POSCAR:
```
ZrTiO4
1.0
4.912 0.000 0.000
-0.113 5.353 0.000
-0.397 -0.905 9.923
Zr Ti O
4 4 16
Direct
0.000 0.000 0.000
0.022 0.019 0.501
0.433 0.503 0.004
0.943 0.579 0.718
0.471 0.480 0.478
0.494 0.117 0.741
0.522 0.077 0.233
0.974 0.591 0.236
0.174 0.329 0.139
0.174 0.691 0.891
0.211 0.666 0.395
0.230 0.876 0.653
0.235 0.359 0.615
0.236 0.195 0.878
0.271 0.827 0.144
0.311 0.163 0.383
0.656 0.179 0.072
0.662 0.424 0.833
0.705 0.415 0.318
0.724 0.238 0.593
0.738 0.716 0.555
0.743 0.920 0.818
0.783 0.688 0.080
0.802 0.920 0.315
```



11.
Here is a crystal of ZrTi2O6 relaxed with PBEsol from the Alexandria database. Energies are from meta-GGA SCAN.

Calculated values
- DOS(E_F) (states/eV per atom) = 0.00
- uncorrected energy (Ha/atom) = -0.53562
- space-group type = P1

Geometry as POSCAR:
```
ZrTi2O6
1.0
4.793 0.000 0.000
-0.059 5.392 0.000
-0.431 -0.734 14.846
Zr Ti O
4 8 24
Direct
0.000 0.000 0.000
0.022 0.989 0.670
0.090 0.432 0.520
0.519 0.919 0.189
0.035 0.409 0.849
0.055 0.384 0.177
0.067 0.020 0.349
0.505 0.905 0.846
0.542 0.529 0.014
0.552 0.527 0.684
0.562 0.886 0.507
0.593 0.502 0.338
0.237 0.092 0.793
0.237 0.099 0.114
0.254 0.330 0.953
0.296 0.292 0.629
0.297 0.595 0.784
0.301 0.092 0.456
0.303 0.590 0.120
0.312 0.774 0.603
0.321 0.788 0.298
0.332 0.813 0.952
0.338 0.279 0.277
0.399 0.578 0.448
0.725 0.828 0.745
0.735 0.816 0.075
0.771 0.140 0.896
0.790 0.593 0.236
0.794 0.322 0.073
0.798 0.636 0.913
0.800 0.646 0.588
0.815 0.125 0.562
0.815 0.330 0.735
0.815 0.821 0.407
0.864 0.099 0.242
0.872 0.331 0.399
```



12.
Here is a crystal of Zr3TiO8 relaxed with PBEsol from the Alexandria database. Energies are from meta-GGA SCAN.

Calculated values
- DOS(E_F) (states/eV per atom) = 0.00
- uncorrected energy (Ha/atom) = -0.61812
- space-group type = I-42m

Geometry as POSCAR:
```
Zr3TiO8
1.0
-2.513 2.513 5.190
2.513 -2.513 5.190
2.513 2.513 -5.190
Zr Ti O
3 1 8
Direct
0.000 0.000 0.000
0.250 0.750 0.500
0.750 0.250 0.500
0.500 0.500 0.000
0.053 0.636 0.000
0.184 0.184 0.555
0.364 0.364 0.417
0.371 0.816 0.000
0.629 0.629 0.445
0.636 0.053 0.000
0.816 0.371 0.000
0.947 0.947 0.583
```



13.
Here is a crystal of TmTlW2O8 relaxed with PBEsol from the Alexandria database. Energies are from meta-GGA SCAN.

Calculated values
- DOS(E_F) (states/eV per atom) = 0.00
- uncorrected energy (Ha/atom) = -1.05374
- space-group type = C2/c

Geometry as POSCAR:
```
TmTlW2O8
1.0
5.321 -5.186 0.000
5.321 5.186 0.000
-4.833 0.000 5.627
Tm Tl W O
2 2 4 16
Direct
0.228 0.772 0.750
0.772 0.228 0.250
0.208 0.792 0.250
0.792 0.208 0.750
0.299 0.305 0.771
0.305 0.299 0.271
0.695 0.701 0.729
0.701 0.695 0.229
0.040 0.213 0.189
0.062 0.379 0.620
0.213 0.040 0.689
0.237 0.380 0.054
0.369 0.588 0.533
0.379 0.062 0.120
0.380 0.237 0.554
0.412 0.631 0.967
0.588 0.369 0.033
0.620 0.763 0.446
0.621 0.938 0.880
0.631 0.412 0.467
0.763 0.620 0.946
0.787 0.960 0.311
0.938 0.621 0.380
0.960 0.787 0.811
```



14.
Here is a crystal of UTl2O4 relaxed with PBEsol from the Alexandria database. Energies are from meta-GGA SCAN.

Calculated values
- DOS(E_F) (states/eV per atom) = 0.00
- uncorrected energy (Ha/atom) = -1.51665
- space-group type = I4/mmm

Geometry as POSCAR:
```
UTl2O4
1.0
-2.152 2.152 6.862
2.152 -2.152 6.862
2.152 2.152 -6.862
U Tl O
1 2 4
Direct
0.000 0.000 0.000
0.343 0.343 0.000
0.657 0.657 0.000
0.000 0.500 0.500
0.142 0.142 0.000
0.500 0.000 0.500
0.858 0.858 0.000
```